(1)
# TiCdN2F

Crystalline TiCdN2F at its relaxed geometry (PBEsol, Alexandria via LeMat-Bulk).

Values from the calculation:
The value obtained for the energy relative to the elements, uncorrected is -0.749 eV per atom. The symmetry is No. 123.

a b c (Å): 3.947 3.947 3.870
angles (deg): 90.00 90.00 90.00
Sites, in units of the cell vectors:
Ti  0.000  0.000  0.000
Cd  0.500  0.500  0.500
N  0.000  0.500  0.000
N  0.500  0.000  0.000
F  0.000  0.000  0.500


(2)
# LiMgCl2

Crystalline LiMgCl2 at its relaxed geometry (PBEsol, Alexandria via LeMat-Bulk).

Values from the calculation:
The value obtained for the energy relative to the elements, uncorrected is -1.194 eV per atom. The symmetry is No. 47. For the energy above the lowest structure with this stoichiometry, the calculation gives 0.030 eV/atom.

a b c (Å): 3.913 3.966 5.477
angles (deg): 90.00 90.00 90.00
Sites, in units of the cell vectors:
Li  0.000  0.000  0.000
Mg  0.500  0.500  0.500
Cl  0.000  0.000  0.500
Cl  0.500  0.500  0.000


(3)
# Sr2AgHgAu

Crystalline Sr2AgHgAu at its relaxed geometry (PBEsol, Alexandria via LeMat-Bulk).

Values from the calculation:
The symmetry is No. 123. The value obtained for the formation energy is -0.08 eV/atom.

a b c (Å): 5.824 5.824 5.020
angles (deg): 90.00 90.00 90.00
Sites, in units of the cell vectors:
Sr  0.000  0.500  0.000
Sr  0.500  0.000  0.000
Ag  0.000  0.000  0.000
Hg  0.500  0.500  0.500
Au  0.000  0.000  0.500


(4)
# PbAu

Crystalline PbAu at its relaxed geometry (PBEsol, Alexandria via LeMat-Bulk).

Values from the calculation:
The symmetry is No. 12. The value obtained for the formation energy is 0.02 eV/atom.

a b c (Å): 5.739 5.739 5.289
angles (deg): 108.97 108.97 33.62
Sites, in units of the cell vectors:
Pb  0.104  0.104  0.325
Pb  0.896  0.896  0.675
Au  0.353  0.353  0.149
Au  0.647  0.647  0.851


(5)
# Cr2CdF

Crystalline Cr2CdF at its relaxed geometry (PBEsol, Alexandria via LeMat-Bulk).

Values from the calculation:
The value obtained for the energy relative to the elements, uncorrected is 0.400 eV per atom. The symmetry is No. 225.

a b c (Å): 4.548 4.548 4.548
angles (deg): 60.00 60.00 60.00
Sites, in units of the cell vectors:
Cr  0.250  0.250  0.250
Cr  0.750  0.750  0.750
Cd  0.000  0.000  0.000
F  0.500  0.500  0.500


(6)
# SrSc2PSe

Crystalline SrSc2PSe at its relaxed geometry (PBEsol, Alexandria via LeMat-Bulk).

Values from the calculation:
The value obtained for the energy relative to the elements, uncorrected is 1.186 eV per atom. The symmetry is No. 123.

a b c (Å): 5.444 5.444 5.121
angles (deg): 90.00 90.00 90.00
Sites, in units of the cell vectors:
Sr  0.000  0.000  0.000
Sc  0.000  0.500  0.000
Sc  0.500  0.000  0.000
P  0.500  0.500  0.500
Se  0.000  0.000  0.500


(7)
# TlSiP3

Crystalline TlSiP3 at its relaxed geometry (PBEsol, Alexandria via LeMat-Bulk).

Values from the calculation:
The value obtained for the energy relative to the elements, uncorrected is 0.563 eV per atom. The symmetry is No. 221.

a b c (Å): 4.587 4.587 4.587
angles (deg): 90.00 90.00 90.00
Sites, in units of the cell vectors:
Tl  0.000  0.000  0.000
Si  0.500  0.500  0.500
P  0.000  0.500  0.500
P  0.500  0.000  0.500
P  0.500  0.500  0.000


(8)
# ScIn2Ga2

Crystalline ScIn2Ga2 at its relaxed geometry (PBEsol, Alexandria via LeMat-Bulk).

Values from the calculation:
The symmetry is No. 139. The value obtained for the formation energy is -0.06 eV/atom.

a b c (Å): 8.333 8.333 8.333
angles (deg): 154.24 154.24 36.74
Sites, in units of the cell vectors:
Sc  0.000  0.000  0.000
In  0.397  0.397  0.000
In  0.603  0.603  0.000
Ga  0.250  0.750  0.500
Ga  0.750  0.250  0.500


Number 1: VASP energy -32.2 eV/cell. Number 2: VASP energy -12.5 eV/cell. Number 3: VASP energy -11.9 eV/cell. Number 4: VASP energy -15.8 eV/cell. Number 5: VASP energy -22.0 eV/cell. Number 6: VASP energy -18.8 eV/cell. Number 7: VASP energy -22.9 eV/cell. Number 8: VASP energy -19.6 eV/cell.